Compound: TiReI2
Source: Alexandria via LeMat-Bulk
Functional: PBE-GGA
Structure: optimized geometry

Energy relative to the lowest polymorph listed for this composition   0.24 eV/f.u.

Geometry as POSCAR:
```
TiReI2
1.0
0.000 3.392 3.392
3.392 0.000 3.392
3.392 3.392 0.000
I Re Ti
2 1 1
Direct
0.250 0.250 0.250 I
0.750 0.750 0.750 I
0.500 0.500 0.500 Re
0.000 0.000 0.000 Ti
```


Compound: KSi
Source: Alexandria via LeMat-Bulk
Functional: PBE-GGA
Structure: optimized geometry

Energy relative to the lowest polymorph listed for this composition   0.26 eV/f.u.

Geometry as POSCAR:
```
KSi
1.0
9.575 0.000 0.000
0.000 9.575 0.000
0.000 0.000 9.575
K Si
8 8
Direct
0.289 0.289 0.289 K
0.289 0.711 0.711 K
0.711 0.289 0.711 K
0.711 0.711 0.289 K
0.789 0.789 0.789 K
0.789 0.211 0.211 K
0.211 0.789 0.211 K
0.211 0.211 0.789 K
0.090 0.090 0.090 Si
0.090 0.910 0.910 Si
0.910 0.090 0.910 Si
0.910 0.910 0.090 Si
0.590 0.590 0.590 Si
0.590 0.410 0.410 Si
0.410 0.590 0.410 Si
0.410 0.410 0.590 Si
```